[1]
## Co4NiSb12 (PBE-GGA)

Data for a relaxed structure of Co4NiSb12.

```
17
Lattice="-4.5536 4.5536 4.5536 4.5536 -4.5536 4.5536 4.5536 4.5536 -4.5536" Properties=species:S:1:pos:R:3 pbc="T T T"
Co 2.2768 2.2768 -2.2768
Co 2.2768 -2.2768 2.2768
Co -2.2768 2.2768 2.2768
Co 2.2768 2.2768 2.2768
Ni 0.0000 0.0000 0.0000
Sb 2.9528 1.4347 0.0000
Sb 6.1544 1.4347 0.0000
Sb 4.5536 -1.6008 3.1190
Sb 3.1190 4.5536 -1.6008
Sb 1.4347 0.0000 2.9528
Sb 0.0000 2.9528 1.4347
Sb 4.5536 1.6008 3.1190
Sb 3.1190 4.5536 1.6008
Sb 1.4347 0.0000 6.1544
Sb 0.0000 6.1544 1.4347
Sb -1.6008 3.1190 4.5536
Sb 1.6008 3.1190 4.5536
```

Output
The value obtained for the magnetization is 0.28 Bohr magnetons per cell. As for the space-group type: Im-3. The calculated total energy is -4.949 eV per atom.

***

[2]
## CoReIr (PBE-GGA)

Data for a relaxed structure of CoReIr.

```
12
Lattice="5.7596 0.0000 0.0000 0.0000 5.7596 0.0000 0.0000 0.0000 5.7596" Properties=species:S:1:pos:R:3 pbc="T T T"
Co 0.0000 0.0000 0.0000
Co 0.0000 2.8798 2.8798
Co 2.8798 0.0000 2.8798
Co 2.8798 2.8798 0.0000
Re 1.4399 1.4399 1.4399
Re 1.4399 4.3197 4.3197
Re 4.3197 1.4399 4.3197
Re 4.3197 4.3197 1.4399
Ir 0.0000 0.0000 2.8798
Ir 0.0000 2.8798 0.0000
Ir 2.8798 0.0000 0.0000
Ir 2.8798 2.8798 2.8798
```

Output
The value obtained for the magnetization is 4.03 Bohr magnetons per cell. As for the space-group type: F-43m. The energy above the most stable polymorph in this dataset comes out at 0.00 eV per formula unit.

***

[3]
## Zr4GePbC2 (PBE-GGA)

Data for a relaxed structure of Zr4GePbC2.

```
8
Lattice="3.3763 0.0000 0.0000 -1.6881 2.9240 0.0000 0.0000 0.0000 14.3893" Properties=species:S:1:pos:R:3 pbc="T T T"
Zr 0.0000 0.0000 2.1670
Zr 0.0000 0.0000 12.2223
Zr 0.0000 1.9493 4.6845
Zr 0.0000 1.9493 9.7049
Ge 0.0000 1.9493 0.0000
Pb 0.0000 0.0000 7.1947
C 1.6881 0.9747 3.4438
C 1.6881 0.9747 10.9455
```

Output
The value obtained for the magnetization is 0.00 Bohr magnetons per cell. As for the space-group type: P-6m2. The calculated total energy is -8.352 eV per atom.

***

[4]
## NaTmAu (PBE-GGA)

Data for a relaxed structure of NaTmAu.

```
12
Lattice="6.8537 0.0000 0.0000 0.0000 6.8537 0.0000 0.0000 0.0000 6.8537" Properties=species:S:1:pos:R:3 pbc="T T T"
Na 0.0000 0.0000 0.0000
Na 0.0000 3.4269 3.4269
Na 3.4269 0.0000 3.4269
Na 3.4269 3.4269 0.0000
Tm 1.7134 1.7134 5.1403
Tm 1.7134 5.1403 1.7134
Tm 5.1403 1.7134 1.7134
Tm 5.1403 5.1403 5.1403
Au 0.0000 0.0000 3.4269
Au 0.0000 3.4269 0.0000
Au 3.4269 0.0000 0.0000
Au 3.4269 3.4269 3.4269
```

Output
The value obtained for the magnetization is 0.01 Bohr magnetons per cell. As for the space-group type: F-43m. The energy above the most stable polymorph in this dataset comes out at 1.06 eV per formula unit.

***

[5]
## Pm4CSe3 (PBE-GGA)

Data for a relaxed structure of Pm4CSe3.

```
16
Lattice="8.3376 0.0000 0.0000 0.0000 11.6236 0.0000 0.0000 0.0000 4.0264" Properties=species:S:1:pos:R:3 pbc="T T T"
Pm 0.0000 2.6201 0.0000
Pm 0.0000 9.0035 0.0000
Pm 1.7885 0.0000 2.0132
Pm 2.3803 5.8118 2.0132
Pm 4.1688 3.1917 0.0000
Pm 4.1688 8.4319 0.0000
Pm 5.9573 5.8118 2.0132
Pm 6.5491 0.0000 2.0132
C 0.0000 0.0000 0.0000
C 4.1688 5.8118 0.0000
Se 0.0000 5.8118 0.0000
Se 2.0844 2.9059 2.0132
Se 2.0844 8.7177 2.0132
Se 4.1688 0.0000 0.0000
Se 6.2532 2.9059 2.0132
Se 6.2532 8.7177 2.0132
```

Output
The value obtained for the magnetization is 0.03 Bohr magnetons per cell. As for the space-group type: Cmmm. The calculated total energy is -6.301 eV per atom.

***

[6]
## CdO2 (PBE-GGA)

Data for a relaxed structure of CdO2.

```
6
Lattice="0.0000 4.6241 4.6241 4.6241 0.0000 4.6241 4.6241 4.6241 0.0000" Properties=species:S:1:pos:R:3 pbc="T T T"
Cd 1.1560 1.1560 1.1560
Cd 8.0922 8.0922 8.0922
O 0.0000 0.0000 0.0000
O 2.3120 2.3120 0.0000
O 2.3120 0.0000 2.3120
O 0.0000 2.3120 2.3120
```

Output
As for the space-group type: Fd-3m. The calculated total energy is -3.084 eV per atom.

***

[7]
## Ba3Pt (PBE-GGA)

Data for a relaxed structure of Ba3Pt.

```
16
Lattice="12.2304 0.0000 0.0000 0.0000 4.3459 0.0000 -1.2266 0.0000 13.6098" Properties=species:S:1:pos:R:3 pbc="T T T"
Ba 0.3098 1.0865 4.7603
Ba 0.0839 3.2594 12.4474
Ba 2.3673 1.0865 8.5622
Ba 3.1534 1.0865 2.0547
Ba 4.3652 3.2594 5.4758
Ba 4.1929 1.0865 11.7779
Ba 6.8109 3.2594 1.8319
Ba 6.6387 1.0865 8.1340
Ba 7.8505 3.2594 11.5551
Ba 8.6365 3.2594 5.0476
Ba 10.9199 1.0865 1.1624
Ba 10.6940 3.2594 8.8495
Pt 0.8344 3.2594 2.2355
Pt 4.7121 3.2594 9.3602
Pt 6.2918 1.0865 4.2495
Pt 10.1695 1.0865 11.3742
```

Output
The value obtained for the magnetization is 0.05 Bohr magnetons per cell. As for the space-group type: P2_1/m. The calculated total energy is -3.388 eV per atom.

***

[8]
## Ho3Er2LuAs2Os (PBE-GGA)

Data for a relaxed structure of Ho3Er2LuAs2Os.

```
9
Lattice="4.1349 0.0000 0.0000 0.0000 6.7406 3.9147 0.0000 -6.7406 3.9147" Properties=species:S:1:pos:R:3 pbc="T T T"
Ho 0.0000 0.0000 0.0000
Ho 0.0000 -2.7135 4.7539
Ho 0.0000 2.7135 4.7539
Er 2.0675 -1.6443 2.2214
Er 2.0675 1.6443 2.2214
Lu 2.0675 0.0000 5.0963
As 2.0675 -4.5121 3.1713
As 2.0675 4.5121 3.1713
Os 0.0000 0.0000 3.2268
```

Output
The value obtained for the magnetization is 0.04 Bohr magnetons per cell. As for the space-group type: Amm2. The calculated total energy is -6.092 eV per atom.

***

[9]
## NdGaNO (PBE-GGA)

Data for a relaxed structure of NdGaNO.

```
8
Lattice="4.0036 0.0000 0.0000 0.0000 5.2941 0.0000 0.0000 0.0000 5.3259" Properties=species:S:1:pos:R:3 pbc="T T T"
Nd 0.0000 1.2874 0.0000
Nd 0.0000 4.0067 2.6630
Ga 2.0018 1.4185 2.7038
Ga 2.0018 3.8755 0.0409
N 0.0000 1.6488 2.8134
N 0.0000 3.6453 0.1505
O 2.0018 0.3182 1.0667
O 2.0018 4.9759 3.7297
```

Output
The value obtained for the magnetization is 0.00 Bohr magnetons per cell. As for the space-group type: Pmc2_1. The energy above the most stable polymorph in this dataset comes out at 0.00 eV per formula unit.

***

[10]
## TbDyCd2Au4 (PBE-GGA)

Data for a relaxed structure of TbDyCd2Au4.

```
8
Lattice="4.9357 0.0000 0.0000 0.0000 4.9357 0.0000 0.0000 0.0000 6.9793" Properties=species:S:1:pos:R:3 pbc="T T T"
Tb 0.0000 0.0000 0.0000
Dy 2.4679 2.4679 3.4897
Cd 0.0000 0.0000 3.4897
Cd 2.4679 2.4679 0.0000
Au 0.0000 2.4679 1.7460
Au 0.0000 2.4679 5.2334
Au 2.4679 0.0000 1.7460
Au 2.4679 0.0000 5.2334
```

Output
The value obtained for the magnetization is 0.00 Bohr magnetons per cell. As for the space-group type: P4/mmm. The calculated total energy is -3.691 eV per atom.

***

[11]
## NaYTm (PBE-GGA)

Data for a relaxed structure of NaYTm.

```
12
Lattice="7.4775 0.0000 0.0000 0.0000 7.4775 0.0000 0.0000 0.0000 7.4775" Properties=species:S:1:pos:R:3 pbc="T T T"
Na 0.0000 0.0000 0.0000
Na 0.0000 3.7387 3.7387
Na 3.7387 0.0000 3.7387
Na 3.7387 3.7387 0.0000
Y 1.8694 1.8694 1.8694
Y 1.8694 5.6081 5.6081
Y 5.6081 1.8694 5.6081
Y 5.6081 5.6081 1.8694
Tm 1.8694 1.8694 5.6081
Tm 1.8694 5.6081 1.8694
Tm 5.6081 1.8694 1.8694
Tm 5.6081 5.6081 5.6081
```

Output
The value obtained for the magnetization is 4.70 Bohr magnetons per cell. As for the space-group type: F-43m. The energy above the most stable polymorph in this dataset comes out at 0.00 eV per formula unit.

***

[12]
## Re2Te3S (PBE-GGA)

Data for a relaxed structure of Re2Te3S.

```
12
Lattice="6.8496 0.0000 0.0000 -3.3315 6.2278 0.0000 -1.8318 -1.0267 7.0168" Properties=species:S:1:pos:R:3 pbc="T T T"
Re -0.6181 1.2334 0.0337
Re 2.3811 1.0588 0.0784
Re -0.6947 4.1422 6.9385
Re 2.3044 3.9677 6.9832
Te 0.8015 0.3421 2.1169
Te -0.7377 3.6852 1.3977
Te -0.8706 1.7024 5.4971
Te 2.5569 3.4986 1.5197
Te 2.4240 1.5159 5.6192
Te 0.8849 4.8590 4.8999
S -2.6599 4.5339 5.5430
S 4.3462 0.6671 1.4738
```

Output
The value obtained for the magnetization is 0.00 Bohr magnetons per cell. As for the space-group type: P-1. The energy above the most stable polymorph in this dataset comes out at 0.20 eV per formula unit.